Compound: Na2TaOsS
Source: Alexandria
Functional: PBE
Structure: relaxed

Calculated values
Its space-group type is P4/mmm (123). The calculated volume is 26.71 Å³ per atom. Its uncorrected formation energy is 5.9 eV/f.u. The total energy comes out at -4.7823 eV per atom.

Cell lengths 5.3367, 5.3367, 4.6897 Å; angles 90.00, 90.00, 90.00 degrees
Closest atoms and distances in Å follow each position.
Sites, in units of the cell vectors:
Na1 0.0000 0.5000 0.0000  2 Os 2.67
Na2 0.5000 0.0000 0.0000  2 Os 2.67
Ta1 0.0000 0.0000 0.5000  2 Os 2.34
Os1 0.0000 0.0000 0.0000  2 Ta 2.34
S1 0.5000 0.5000 0.5000  8 Na 3.55, 4 Ta 3.77